Record 1
The following is a DFT calculation (PBE with a Hubbard U) of crystalline Ni2SO at its relaxed geometry.

Unit cell a=6.1581 b=6.1581 c=6.1581 alpha=133.21 beta=133.21 gamma=68.32
Atoms (fractional coordinates):
Ni 0.0644 0.6250 0.9394
Ni 0.3750 0.3144 0.4394
Ni 0.6856 0.1250 0.0606
Ni 0.8750 0.9356 0.5606
S 0.2500 0.7500 0.5000
S 0.5000 0.5000 0.0000
O 0.0000 0.0000 0.0000
O 0.7500 0.2500 0.5000

Calculated values
* density of states at the Fermi level: 0.00 states/eV/atom
* spin magnetization: 1.000 μB/atom
* total energy: -4.02 eV/atom
* excess energy over the best structure of this formula in the dataset: 0 meV/atom

Record 2
The following is a DFT calculation (PBE with a Hubbard U) of crystalline Ta2NiSO at its relaxed geometry.

Unit cell a=4.3720 b=4.3720 c=3.4744 alpha=90.00 beta=90.00 gamma=90.00
Atoms (fractional coordinates):
Ta 0.0000 0.5000 0.0000
Ta 0.5000 0.0000 0.0000
Ni 0.0000 0.0000 0.5000
S 0.5000 0.5000 0.5000
O 0.0000 0.0000 0.0000

Calculated values
* density of states at the Fermi level: 0.65 states/eV/atom
* spin magnetization: 0.000 μB/atom
* total energy: -7.14 eV/atom